Record 1
Ba2WAu2 after structural relaxation, computed with GGA-PBE.

For the energy, the calculation gives -43.6 eV for the cell shown. As for the formation enthalpy at 0 K: 313 meV per atom.

The space group is P4/mbm (No. 127) and the conventional cell measures 7.4472, 7.4472 and 5.1796 Å, with angles of 90.00, 90.00 and 90.00 degrees. Symmetry generates all atoms from Ba at (0.1726, 0.3274, 0.0000), W at (0.0000, 0.0000, 0.5000) and Au at (0.1452, 0.6452, 0.5000).

Record 2
Ba3YAu after structural relaxation, computed with GGA-PBE.

For the energy, the calculation gives -12.2 eV for the cell shown. As for the formation enthalpy at 0 K: 655 meV per atom.

The space group is Pm-3m (No. 221) and the conventional cell measures 6.4154, 6.4154 and 6.4154 Å, with angles of 90.00, 90.00 and 90.00 degrees. Symmetry generates all atoms from Ba at (0.0000, 0.0000, 0.5000), Y at (0.0000, 0.0000, 0.0000) and Au at (0.5000, 0.5000, 0.5000).

Record 3
BaYAu2 after structural relaxation, computed with GGA-PBE.

For the energy, the calculation gives -17.5 eV for the cell shown. As for the formation enthalpy at 0 K: -641 meV per atom.

The space group is P4/mmm (No. 123) and the conventional cell measures 5.4425, 5.4425 and 3.7072 Å, with angles of 90.00, 90.00 and 90.00 degrees. Symmetry generates all atoms from Ba at (0.0000, 0.0000, 0.0000), Y at (0.5000, 0.5000, 0.0000) and Au at (0.0000, 0.5000, 0.5000).

Record 4
Ba2YAu after structural relaxation, computed with GGA-PBE.

For the energy, the calculation gives -14.9 eV for the cell shown. As for the formation enthalpy at 0 K: -316 meV per atom.

The space group is P4mm (No. 99) and the conventional cell measures 3.9034, 3.9034 and 10.3649 Å, with angles of 90.00, 90.00 and 90.00 degrees. Symmetry generates all atoms from Ba at (0.0000, 0.0000, 0.0000), Ba at (0.5000, 0.5000, 0.3611), Y at (0.0000, 0.0000, 0.6572) and Au at (0.5000, 0.5000, 0.7788).

Record 5
BaYAu2 after structural relaxation, computed with GGA-PBE.

For the energy, the calculation gives -52.5 eV for the cell shown. As for the formation enthalpy at 0 K: -642 meV per atom.

The space group is R3m (No. 160, hexagonal axes) and the conventional cell measures 4.3410, 4.3410 and 23.2297 Å, with angles of 90.00, 90.00 and 120.00 degrees. Symmetry generates all atoms from Ba at (0.0000, 0.0000, 0.0000), Y at (0.0000, 0.0000, 0.1709), Au at (0.0000, 0.0000, 0.5707) and Au at (0.0000, 0.0000, 0.7670).

Record 6
Ba2YAu after structural relaxation, computed with GGA-PBE.

For the energy, the calculation gives -55.3 eV for the cell shown. As for the formation enthalpy at 0 K: -58 meV per atom.

The space group is I-42d (No. 122) and the conventional cell measures 11.6659, 11.6659 and 5.6811 Å, with angles of 90.00, 90.00 and 90.00 degrees. Symmetry generates all atoms from Ba at (0.1162, 0.2500, 0.1250), Y at (0.0000, 0.0000, 0.5000) and Au at (0.0000, 0.0000, 0.0000).

Record 7
BaY3Au after structural relaxation, computed with GGA-PBE.

For the energy, the calculation gives -18.9 eV for the cell shown. As for the formation enthalpy at 0 K: 1142 meV per atom.

The space group is Pm-3m (No. 221) and the conventional cell measures 5.6102, 5.6102 and 5.6102 Å, with angles of 90.00, 90.00 and 90.00 degrees. Symmetry generates all atoms from Ba at (0.0000, 0.0000, 0.0000), Y at (0.0000, 0.0000, 0.5000) and Au at (0.5000, 0.5000, 0.5000).

Record 8
BaYAu2 after structural relaxation, computed with GGA-PBE.

For the energy, the calculation gives -35.1 eV for the cell shown. As for the formation enthalpy at 0 K: -652 meV per atom.

The space group is Amm2 (No. 38) and the conventional cell measures 4.9238, 4.0184 and 11.7288 Å, with angles of 90.00, 90.00 and 90.00 degrees. Symmetry generates all atoms from Ba at (0.0000, 0.0000, 0.0000), Y at (0.5000, 0.0000, 0.2693), Au at (0.0000, 0.0000, 0.7308) and Au at (0.5000, 0.0000, 0.5705).

Record 9
Ba2YAu after structural relaxation, computed with GGA-PBE.

For the energy, the calculation gives -29.1 eV for the cell shown. As for the formation enthalpy at 0 K: -235 meV per atom.

The space group is Amm2 (No. 38) and the conventional cell measures 4.1896, 5.6282 and 14.0964 Å, with angles of 90.00, 90.00 and 90.00 degrees. Symmetry generates all atoms from Ba at (0.0000, 0.0000, 0.0000), Ba at (0.5000, 0.0000, 0.3083), Y at (0.0000, 0.0000, 0.6858) and Au at (0.5000, 0.0000, 0.5463).

Record 10
BaYAu after structural relaxation, computed with GGA-PBE.

For the energy, the calculation gives -26.5 eV for the cell shown. As for the formation enthalpy at 0 K: -532 meV per atom.

The space group is P4/nmm (No. 129, origin choice 2) and the conventional cell measures 5.1478, 5.1478 and 7.7856 Å, with angles of 90.00, 90.00 and 90.00 degrees. Symmetry generates all atoms from Ba at (0.2500, 0.2500, 0.1200), Y at (0.2500, 0.7500, 0.5000) and Au at (0.2500, 0.2500, 0.6872).

Record 11
Ba2YAu after structural relaxation, computed with GGA-PBE.

For the energy, the calculation gives -29.1 eV for the cell shown. As for the formation enthalpy at 0 K: -242 meV per atom.

The space group is Immm (No. 71) and the conventional cell measures 3.9446, 4.4863 and 19.2389 Å, with angles of 90.00, 90.00 and 90.00 degrees. Symmetry generates all atoms from Ba at (0.0000, 0.0000, 0.1566), Y at (0.0000, 0.5000, 0.0000) and Au at (0.0000, 0.5000, 0.5000).

Record 12
BaYAu after structural relaxation, computed with GGA-PBE.

For the energy, the calculation gives -12.7 eV for the cell shown. As for the formation enthalpy at 0 K: -353 meV per atom.

The space group is P3m1 (No. 156) and the conventional cell measures 4.4096, 4.4096 and 6.9709 Å, with angles of 90.00, 90.00 and 120.00 degrees. Symmetry generates all atoms from Ba at (0.0000, 0.0000, 0.0000), Y at (0.6667, 0.3333, 0.4973) and Au at (0.3333, 0.6667, 0.6855).

- What is the energy in the eighth record?
  -35.1 eV for the cell shown